Entry 1:
{
  "formula": "TaBeSe2",
  "functional": "GGA-PBE",
  "state": "relaxed",
  "raw_formation_energy_ev_per_atom": 0.18,
  "total_magnetization_mub_per_fu": 0.00,
  "n_ef_per_ev_fu": 2.368,
  "e_tot_ev_per_atom": -5.4524,
  "lattice": [[-2.0821, -1.9709, -2.0184], [3.0800, -1.0059, 1.3400], [-3.4473, -2.5289, 6.0254]],
  "species": ["Se", "Se", "Be", "Ta"],
  "fractional_positions": [[0.0000, 0.0000, 0.9686], [0.0000, 0.0000, 0.5314], [0.5000, 0.5000, 0.7500], [0.5000, 0.5000, 0.2500]]
}

=====

Entry 2:
{
  "formula": "ReTeP4",
  "functional": "GGA-PBE",
  "state": "relaxed",
  "raw_formation_energy_ev_per_atom": 1.17,
  "total_magnetization_mub_per_fu": 0.00,
  "n_ef_per_ev_fu": 5.827,
  "e_tot_ev_per_atom": -5.0355,
  "lattice": [[0.0000, 3.6362, 3.6362], [3.6362, 0.0000, 3.6362], [3.6362, 3.6362, 0.0000]],
  "species": ["P", "P", "P", "P", "Te", "Re"],
  "fractional_positions": [[0.3726, 0.3726, 0.3726], [0.3726, 0.8821, 0.3726], [0.8821, 0.3726, 0.3726], [0.3726, 0.3726, 0.8821], [0.0000, 0.0000, 0.0000], [0.7500, 0.7500, 0.7500]]
}

=====

Entry 3:
{
  "formula": "Sr2AsP",
  "functional": "GGA-PBE",
  "state": "relaxed",
  "e_form_kj_per_mol_atoms": -15,
  "total_magnetization_mub_per_fu": 0.00,
  "n_ef_per_ev_fu": 3.830,
  "e_tot_ev_per_atom": -3.5075,
  "lattice": [[-1.5805, 3.0726, 3.9881], [0.8496, -1.5037, 4.9861], [3.5652, 2.5364, 2.9496]],
  "species": ["P", "Sr", "Sr", "As"],
  "fractional_positions": [[0.7500, 0.7500, 0.7500], [0.0000, 0.0000, 0.0000], [0.2500, 0.2500, 0.2500], [0.5000, 0.5000, 0.5000]]
}

=====

Entry 4:
{
  "formula": "Sr3RuPt",
  "functional": "GGA-PBE",
  "state": "relaxed",
  "e_form_kj_per_mol_atoms": 29,
  "total_magnetization_mub_per_fu": 0.00,
  "n_ef_per_ev_fu": 2.122,
  "e_tot_ev_per_atom": -3.7728,
  "lattice": [[5.4809, 0.0000, 0.0000], [0.0000, 5.4809, 0.0000], [0.0000, 0.0000, 5.4809]],
  "species": ["Sr", "Sr", "Sr", "Pt", "Ru"],
  "fractional_positions": [[0.5000, 0.0000, 0.0000], [0.0000, 0.5000, 0.0000], [0.0000, 0.0000, 0.5000], [0.5000, 0.5000, 0.5000], [0.0000, 0.0000, 0.0000]]
}

=====

Entry 5:
{
  "formula": "MnTcSe2",
  "functional": "GGA-PBE",
  "state": "relaxed",
  "raw_formation_energy_ev_per_atom": 0.41,
  "total_magnetization_mub_per_fu": 3.72,
  "n_ef_per_ev_fu": 3.842,
  "e_tot_ev_per_atom": -6.2159,
  "lattice": [[3.3093, 0.0991, 0.0000], [-1.7018, 2.8399, 0.0000], [0.0000, 0.0000, 7.6288]],
  "species": ["Tc", "Se", "Se", "Mn"],
  "fractional_positions": [[0.5000, 0.5000, 0.2500], [0.0000, 0.0000, 0.4973], [0.0000, 0.0000, 0.0027], [0.5000, 0.5000, 0.7500]]
}

=====

Entry 6:
{
  "formula": "Ho5Er2Tm2",
  "functional": "GGA-PBE",
  "state": "relaxed",
  "e_form_kj_per_mol_atoms": 19,
  "total_magnetization_mub_per_fu": 0.00,
  "n_ef_per_ev_fu": 13.535,
  "e_tot_ev_per_atom": -4.3557,
  "lattice": [[12.5859, 0.0000, 0.0000], [0.0000, 6.0171, 0.0000], [-6.2930, -3.0085, 7.4243]],
  "species": ["Ho", "Ho", "Ho", "Ho", "Ho", "Ho", "Ho", "Ho", "Ho", "Ho", "Tm", "Tm", "Tm", "Tm", "Er", "Er", "Er", "Er"],
  "fractional_positions": [[0.3315, 0.1445, 0.2854], [0.8482, 0.7222, 0.0960], [0.9344, 0.1711, 0.5000], [0.4538, 0.6445, 0.2854], [0.2522, 0.1262, 0.9040], [0.0656, 0.6711, 0.5000], [0.1518, 0.6262, 0.9040], [0.5462, 0.3592, 0.7146], [0.7478, 0.2222, 0.0960], [0.6685, 0.8592, 0.7146], [0.8175, 0.3778, 0.7288], [0.4113, 0.8778, 0.7288], [0.1825, 0.6490, 0.2712], [0.5887, 0.1490, 0.2712], [0.2003, 0.2109, 0.5000], [0.7997, 0.7109, 0.5000], [0.0000, 0.0751, 0.0000], [0.5000, 0.5751, 0.0000]]
}

=====

Entry 7:
{
  "formula": "ReSiBr2",
  "functional": "GGA-PBE",
  "state": "relaxed",
  "raw_formation_energy_ev_per_atom": 1.35,
  "total_magnetization_mub_per_fu": 0.00,
  "n_ef_per_ev_fu": 2.733,
  "e_tot_ev_per_atom": -3.9513,
  "lattice": [[0.0000, 3.3031, 3.3031], [3.3031, 0.0000, 3.3031], [3.3031, 3.3031, 0.0000]],
  "species": ["Br", "Br", "Si", "Re"],
  "fractional_positions": [[0.7500, 0.7500, 0.7500], [0.2500, 0.2500, 0.2500], [0.0000, 0.0000, 0.0000], [0.5000, 0.5000, 0.5000]]
}

=====

Entry 8:
{
  "formula": "Tm2NiRu",
  "functional": "GGA-PBE",
  "state": "relaxed",
  "e_form_kj_per_mol_atoms": -46,
  "total_magnetization_mub_per_fu": 0.00,
  "n_ef_per_ev_fu": 1.476,
  "e_tot_ev_per_atom": -6.4776,
  "lattice": [[4.7233, -0.0010, -0.0020], [2.3608, 4.0980, 0.0021], [-0.0022, 2.7194, 3.8619]],
  "species": ["Ni", "Tm", "Tm", "Ru"],
  "fractional_positions": [[0.7500, 0.5000, 0.2500], [0.5000, 0.0000, 0.5000], [0.0000, 0.0000, 0.0000], [0.2500, 0.5000, 0.7500]]
}

=====

Entry 9:
{
  "formula": "Tb6Tm2ThSc3",
  "functional": "GGA-PBE",
  "state": "relaxed",
  "e_form_kj_per_mol_atoms": 5,
  "total_magnetization_mub_per_fu": 0.00,
  "n_ef_per_ev_fu": 17.614,
  "e_tot_ev_per_atom": -5.2082,
  "lattice": [[-2.5390, 0.0594, 5.4872], [6.0119, -0.3441, -0.5453], [-0.4966, 11.3577, -1.4636]],
  "species": ["Sc", "Sc", "Sc", "Tb", "Tb", "Tb", "Tb", "Tb", "Tb", "Tm", "Tm", "Th"],
  "fractional_positions": [[0.5000, 0.5000, 0.5000], [0.1670, 0.8330, 0.5000], [0.8330, 0.1670, 0.5000], [0.2447, 0.2447, 0.7423], [0.0863, 0.4174, 0.2577], [0.4174, 0.0863, 0.2577], [0.9137, 0.5826, 0.7423], [0.5826, 0.9137, 0.7423], [0.7553, 0.7553, 0.2577], [0.3333, 0.6667, 0.0000], [0.6667, 0.3333, 0.0000], [0.0000, 0.0000, 0.0000]]
}

=====

Entry 10:
{
  "formula": "InNiAu2",
  "functional": "GGA-PBE",
  "state": "relaxed",
  "e_form_kj_per_mol_atoms": -6,
  "total_magnetization_mub_per_fu": 0.00,
  "n_ef_per_ev_fu": 2.488,
  "e_tot_ev_per_atom": -3.8289,
  "lattice": [[4.0774, 0.0000, 0.0000], [0.0000, 4.0738, 0.0000], [0.0000, 0.0000, 4.1025]],
  "species": ["In", "Au", "Au", "Ni"],
  "fractional_positions": [[0.5000, 0.0000, 0.5000], [0.0000, 0.0000, 0.0000], [0.5000, 0.5000, 0.0000], [0.0000, 0.5000, 0.5000]]
}

=====

Entry 11:
{
  "formula": "Ba4PrTl5",
  "functional": "GGA-PBE",
  "state": "relaxed",
  "e_form_kj_per_mol_atoms": -38,
  "total_magnetization_mub_per_fu": 0.00,
  "n_ef_per_ev_fu": 8.444,
  "e_tot_ev_per_atom": -2.8191,
  "lattice": [[-1.8916, 0.5532, 3.6879], [-2.1984, -3.5057, -0.6017], [15.5038, -11.3801, 9.6594]],
  "species": ["Tl", "Tl", "Tl", "Tl", "Tl", "Ba", "Ba", "Ba", "Ba", "Pr"],
  "fractional_positions": [[0.5000, 0.5000, 0.5000], [0.5000, 0.5000, 0.2958], [0.5000, 0.5000, 0.7042], [0.5000, 0.5000, 0.9179], [0.5000, 0.5000, 0.0821], [0.0000, 0.0000, 0.6024], [0.0000, 0.0000, 0.3976], [0.0000, 0.0000, 0.8096], [0.0000, 0.0000, 0.1904], [0.0000, 0.0000, 0.0000]]
}

=====

Entry 12:
{
  "formula": "BSeCl3",
  "functional": "GGA-PBE",
  "state": "relaxed",
  "raw_formation_energy_ev_per_atom": 0.88,
  "total_magnetization_mub_per_fu": 0.10,
  "n_ef_per_ev_fu": 2.916,
  "e_tot_ev_per_atom": -2.2623,
  "lattice": [[-1.4355, -2.3620, -4.2821], [-1.1908, -4.1596, 2.6937], [-4.7431, 1.7592, 0.6197]],
  "species": ["Cl", "Cl", "Cl", "Se", "B"],
  "fractional_positions": [[0.0000, 0.0000, 0.5000], [0.0000, 0.5000, 0.0000], [0.5000, 0.0000, 0.0000], [0.0000, 0.0000, 0.0000], [0.5000, 0.5000, 0.5000]]
}